The following is a GGA-PBE calculation of RbTl2Ag after structural relaxation, from Alexandria.

```
RbTl2Ag
1.0
4.966 0.000 0.000
2.483 4.301 0.000
2.483 1.434 6.792
Ag Tl Rb
1 2 1
direct
0.000 0.000 0.000 Ag
0.708 0.708 0.877 Tl
0.292 0.292 0.123 Tl
0.500 0.500 0.500 Rb
```

Computed properties:
E (eV per atom): -2.128
Energy relative to the lowest polymorph listed for this composition (meV per atom): 35
ρ (kg/m3): 6892